Density functional theory data (PBE) for crystalline Tb2NdHo6Mg at its relaxed geometry.

## Properties
Fermi-level density of states: 15.4 states/eV/f.u.
Density: 7.8 Mg/m³
Energy of formation from the pure elements: 0.1162 eV/atom
Spin magnetization: 0.000 μB per atom

a b c (Å): 6.614 10.861 10.861
angles (deg): 125.46 85.92 85.92
Sites, in units of the cell vectors:
Tb: 0.501 0.820 0.654
Tb: 0.999 0.346 0.180
Tb: 0.499 0.180 0.346
Tb: 0.001 0.654 0.820
Nd: 0.250 0.990 0.010
Nd: 0.750 0.010 0.990
Ho: 0.034 0.080 0.789
Ho: 0.466 0.211 0.920
Ho: 0.966 0.920 0.211
Ho: 0.534 0.789 0.080
Ho: 0.282 0.913 0.433
Ho: 0.218 0.567 0.087
Ho: 0.718 0.087 0.567
Ho: 0.782 0.433 0.913
Ho: 0.019 0.695 0.521
Ho: 0.481 0.479 0.305
Ho: 0.981 0.305 0.479
Ho: 0.519 0.521 0.695
Mg: 0.250 0.292 0.708
Mg: 0.750 0.708 0.292



Density functional theory data (PBE) for crystalline TlCu2PdCl6 at its relaxed geometry.

## Properties
Fermi-level density of states: 7.1 states/eV/f.u.
Density: 4.1 Mg/m³
Final energy: -3.25 eV per atom
Spin magnetization: 0.106 μB per atom

a b c (Å): 7.935 9.378 9.378
angles (deg): 59.49 65.18 65.18
Sites, in units of the cell vectors:
Tl: 0.250 0.903 0.097
Tl: 0.750 0.097 0.903
Cu: 0.291 0.861 0.646
Cu: 0.209 0.354 0.139
Cu: 0.709 0.139 0.354
Cu: 0.791 0.646 0.861
Pd: 0.250 0.268 0.732
Pd: 0.750 0.732 0.268
Cl: 0.164 0.143 0.620
Cl: 0.336 0.380 0.857
Cl: 0.836 0.857 0.380
Cl: 0.664 0.620 0.143
Cl: 0.422 0.827 0.391
Cl: 0.078 0.609 0.173
Cl: 0.578 0.173 0.609
Cl: 0.922 0.391 0.827
Cl: 0.993 0.817 0.727
Cl: 0.507 0.273 0.183
Cl: 0.007 0.183 0.273
Cl: 0.493 0.727 0.817



Density functional theory data (PBE) for crystalline TeRu2 at its relaxed geometry.

## Properties
Relative energy among the computed polymorphs: 529 meV per atom
Fermi-level density of states: 4.0 states/eV/f.u.
Density: 10.4 Mg/m³
Spin magnetization: 0.000 μB per atom

a b c (Å): 4.374 4.374 3.173
angles (deg): 90.00 90.00 120.00
Sites, in units of the cell vectors:
Ru: 0.333 0.667 0.500
Ru: 0.667 0.333 0.500
Te: 0.000 0.000 0.000



Density functional theory data (PBE) for crystalline SmY2Tl at its relaxed geometry.

## Properties
Relative energy among the computed polymorphs: 0 meV per atom
Fermi-level density of states: 4.5 states/eV/f.u.
Density: 7.5 Mg/m³
Energy of formation from the pure elements: -0.1961 eV/atom
Spin magnetization: 0.259 μB per atom

a b c (Å): 4.853 4.919 4.919
angles (deg): 90.00 90.00 90.00
Sites, in units of the cell vectors:
Y: 0.000 0.000 0.500
Y: 0.000 0.500 0.000
Tl: 0.500 0.500 0.500
Sm: 0.500 0.000 0.000



Density functional theory data (PBE) for crystalline Mg5ZrAu6 at its relaxed geometry.

## Properties
Fermi-level density of states: 4.6 states/eV/f.u.
Density: 10.4 Mg/m³
Energy of formation from the pure elements: -0.5804 eV/atom
Spin magnetization: 0.000 μB per atom

a b c (Å): 4.717 6.672 8.194
angles (deg): 114.03 107.32 90.00
Sites, in units of the cell vectors:
Mg: 0.668 0.167 0.335
Mg: 0.332 0.333 0.664
Mg: 0.000 0.500 0.000
Mg: 0.668 0.667 0.336
Mg: 0.332 0.833 0.665
Au: 0.835 0.580 0.668
Au: 0.835 0.089 0.669
Au: 0.500 0.749 0.000
Au: 0.500 0.251 0.000
Au: 0.165 0.911 0.331
Au: 0.165 0.420 0.332
Zr: 0.000 0.000 0.000



Density functional theory data (PBE) for crystalline Tl2FeAg at its relaxed geometry.

## Properties
Relative energy among the computed polymorphs: 7 meV per atom
Fermi-level density of states: 3.3 states/eV/f.u.
Density: 11.0 Mg/m³
Energy of formation from the pure elements: 0.4171 eV/atom
Spin magnetization: 0.649 μB per atom

a b c (Å): 6.596 6.596 6.596
angles (deg): 153.03 138.18 50.47
Sites, in units of the cell vectors:
Ag: 0.444 0.444 0.000
Fe: 0.251 0.751 0.500
Tl: 0.046 0.046 0.000
Tl: 0.760 0.260 0.500